Record 1
# LiRu2Rh, optimized geometry, DFT PBE
data_LiRu2Rh
_cell_length_a 2.705
_cell_length_b 3.996
_cell_length_c 5.002
_cell_angle_alpha 90.00
_cell_angle_beta 90.00
_cell_angle_gamma 90.00
_space_group_name_H-M_alt 'P m m m'
_space_group_IT_number 47
_space_group_name_Hall '-P 2 2'
loop_
_atom_site_label
_atom_site_fract_x
_atom_site_fract_y
_atom_site_fract_z
Li1 0.000 0.000 0.000
Ru1 0.500 0.500 0.237
Rh1 0.000 0.000 0.500
# Energy relative to the lowest polymorph listed for this composition, kJ/mol of formula units: 24
# DFT formation energy, eV/f.u.: 0.6
# Total energy, eV per atom: -6.802
# Mass density, Mg/m³: 9.6
# Density of states at the Fermi level, states/eV per cell: 4.446


Record 2
# LiRu2Rh, optimized geometry, DFT PBE
data_LiRu2Rh
_cell_length_a 5.008
_cell_length_b 8.218
_cell_length_c 2.655
_cell_angle_alpha 90.00
_cell_angle_beta 90.00
_cell_angle_gamma 90.00
_space_group_name_H-M_alt 'C m m m'
_space_group_IT_number 65
_space_group_name_Hall '-C 2 2'
loop_
_atom_site_label
_atom_site_fract_x
_atom_site_fract_y
_atom_site_fract_z
Li1 0.000 0.000 0.000
Ru1 0.250 0.250 0.500
Rh1 0.000 0.500 0.000
# Energy relative to the lowest polymorph listed for this composition, kJ/mol of formula units: 36
# DFT formation energy, eV/f.u.: 0.7
# Total energy, eV per atom: -6.770
# Mass density, Mg/m³: 9.5
# Density of states at the Fermi level, states/eV per cell: 9.715


Which of these has the highest DFT formation energy? number 2


What is the total energy in the first record? -6.802 eV per atom


Copy entry 1 word for word.
# LiRu2Rh, optimized geometry, DFT PBE
data_LiRu2Rh
_cell_length_a 2.705
_cell_length_b 3.996
_cell_length_c 5.002
_cell_angle_alpha 90.00
_cell_angle_beta 90.00
_cell_angle_gamma 90.00
_space_group_name_H-M_alt 'P m m m'
_space_group_IT_number 47
_space_group_name_Hall '-P 2 2'
loop_
_atom_site_label
_atom_site_fract_x
_atom_site_fract_y
_atom_site_fract_z
Li1 0.000 0.000 0.000
Ru1 0.500 0.500 0.237
Rh1 0.000 0.000 0.500
# Energy relative to the lowest polymorph listed for this composition, kJ/mol of formula units: 24
# DFT formation energy, eV/f.u.: 0.6
# Total energy, eV per atom: -6.802
# Mass density, Mg/m³: 9.6
# Density of states at the Fermi level, states/eV per cell: 4.446